# NaPr3Fe

Crystalline NaPr3Fe at its relaxed geometry (PBE, Alexandria).

Values from the calculation:
Calculated formation energy   0.2085 eV per atom
N(E_F)   1.349 states/eV per atom
SG   Pm-3m
Magnetic moment   0.01 μB/atom

Geometry as extended XYZ:
```
5
Lattice="5.463 0.000 0.000 0.000 5.463 0.000 0.000 0.000 5.463" Properties=species:S:1:pos:R:3 pbc="T T T"
Na 2.731 2.731 2.731
Fe 0.000 0.000 0.000
Pr 0.000 0.000 2.731
Pr 0.000 2.731 0.000
Pr 2.731 0.000 0.000
```